Compound: Ca3Ru
Source: the Alexandria database
Functional: SCAN
Structure: PBEsol geometry

Summary:
The calculation puts the formation energy from the elements at 0.0875 eV per atom.

a b c (Å): 6.051 7.881 9.127
angles (deg): 90.00 90.00 90.00
Element x y z (fractional)
Ca1 0.119 0.036 0.750
Ca2 0.619 0.464 0.250
Ca3 0.381 0.536 0.750
Ca4 0.881 0.964 0.250
Ca5 0.642 0.167 0.935
Ca6 0.142 0.333 0.065
Ca7 0.858 0.667 0.565
Ca8 0.358 0.833 0.435
Ca9 0.358 0.833 0.065
Ca10 0.858 0.667 0.935
Ca11 0.142 0.333 0.435
Ca12 0.642 0.167 0.565
Ru1 0.558 0.872 0.750
Ru2 0.058 0.628 0.250
Ru3 0.942 0.372 0.750
Ru4 0.442 0.128 0.250